Entry 1:
VASP calculation (PBE) on a geometry-optimized LiReRh3 structure.

Results
N(E_F) = 3.402 states/eV/f.u.
magnetization = 0.0 μB/f.u.
energy relative to the elements = 4.5 eV/f.u.
symmetry = Pm-3m

a b c (Å): 4.7169 4.7169 4.7169
angles (deg): 90.00 90.00 90.00
Last column: nearest neighbours and their distance in Å.
Fractional coordinates of all 5 atoms:
Li1 0.0000 0.0000 0.0000  12 Rh 3.34
Re1 0.5000 0.5000 0.5000  6 Rh 2.36
Rh1 0.0000 0.5000 0.5000  2 Re 2.36
Rh2 0.5000 0.0000 0.5000  2 Re 2.36
Rh3 0.5000 0.5000 0.0000  2 Re 2.36

=====

Entry 2:
VASP calculation (PBE) on a geometry-optimized Ba3Tl4 structure.

Results
offset from the most stable computed form = 0.000 eV per atom
N(E_F) = 7.181 states/eV/f.u.
magnetization = 0.0 μB/f.u.
energy relative to the elements = -1.6 eV/f.u.
symmetry = I4/mmm

a b c (Å): 16.5053 16.5053 16.5053
angles (deg): 165.55 165.55 20.49
Last column: nearest neighbours and their distance in Å.
Fractional coordinates of all 7 atoms:
Ba1 0.0000 0.0000 0.0000  10 Tl 3.75-4.01, 4 Ba 4.15
Ba2 0.3080 0.3080 0.0000  5 Tl 3.68-3.90
Ba3 0.6920 0.6920 0.0000  5 Tl 3.68-3.90
Tl1 0.1235 0.1235 0.0000  4 Tl 3.38, 4 Ba 3.68
Tl2 0.4281 0.4281 0.0000  4 Tl 3.38, 4 Ba 3.75
Tl3 0.5719 0.5719 0.0000  4 Tl 3.38, 4 Ba 3.75
Tl4 0.8765 0.8765 0.0000  4 Tl 3.38, 4 Ba 3.68

=====

Entry 3:
VASP calculation (PBE) on a geometry-optimized La4TcPBr2 structure.

Results
N(E_F) = 4.792 states/eV/f.u.
formation energy (no corrections) = -1.116 eV per atom
magnetization = 0.0 μB/f.u.
symmetry = P2/m

a b c (Å): 7.4818 4.1957 8.0165
angles (deg): 90.00 105.92 90.00
Last column: nearest neighbours and their distance in Å.
Fractional coordinates of all 8 atoms:
La1 0.2283 0.0000 0.2037  2 Tc 2.91, 1 P 2.94
La2 0.2485 0.5000 0.8071  1 Tc 2.73, 2 P 2.96
La3 0.7515 0.5000 0.1929  1 Tc 2.73, 2 P 2.96
La4 0.7717 0.0000 0.7963  2 Tc 2.91, 1 P 2.94
Tc1 0.0000 0.5000 0.0000  6 La 2.73-2.91
P1 0.5000 0.0000 0.0000  6 La 2.94-2.96
Br1 0.0000 0.0000 0.5000  6 La 3.28-3.38
Br2 0.5000 0.5000 0.5000  6 La 3.39-3.48

=====

Entry 4:
VASP calculation (PBE) on a geometry-optimized Tb8Ho2Er structure.

Results
offset from the most stable computed form = 0.000 eV per atom
N(E_F) = 15.562 states/eV/f.u.
magnetization = 0.0 μB/f.u.
energy relative to the elements = 1.7 eV/f.u.
symmetry = C2/m

a b c (Å): 9.2812 9.2812 5.8591
angles (deg): 105.92 105.92 122.11
Last column: nearest neighbours and their distance in Å.
Fractional coordinates of all 11 atoms:
Tb1 0.0979 0.3366 0.6842  4 Tb 3.19-3.56, 2 Ho 3.47-3.48
Tb2 0.2052 0.7948 0.0000  1 Er 3.33, 4 Ho 3.39-3.73, 6 Tb 3.56-3.64
Tb3 0.3366 0.0979 0.6842  4 Tb 3.19-3.56, 2 Ho 3.47-3.48
Tb4 0.4313 0.4313 0.2064  3 Tb 2.92-3.19
Tb5 0.5687 0.5687 0.7936  3 Tb 2.92-3.19
Tb6 0.6634 0.9021 0.3158  4 Tb 3.19-3.56, 2 Ho 3.47-3.48
Tb7 0.7948 0.2052 0.0000  1 Er 3.33, 4 Ho 3.39-3.73, 6 Tb 3.56-3.64
Tb8 0.9021 0.6634 0.3158  4 Tb 3.19-3.56, 2 Ho 3.47-3.48
Ho1 0.3096 0.6904 0.5000  10 Tb 3.39-3.73
Ho2 0.6904 0.3096 0.5000  10 Tb 3.39-3.73
Er1 0.0000 0.0000 0.0000  4 Tb 3.33-3.34

=====

Entry 5:
VASP calculation (PBE) on a geometry-optimized Te2IBrO structure.

Results
offset from the most stable computed form = 0.802 eV per atom
N(E_F) = 7.541 states/eV/f.u.
formation energy (no corrections) = 1.201 eV per atom
magnetization = 4.1 μB/f.u.
symmetry = P4/mmm

a b c (Å): 5.7529 5.7529 5.9590
angles (deg): 90.00 90.00 90.00
Last column: nearest neighbours and their distance in Å.
Fractional coordinates of all 5 atoms:
Te1 0.0000 0.5000 0.0000  2 Br 2.88
Te2 0.5000 0.0000 0.0000  2 Br 2.88
I1 0.0000 0.0000 0.5000  2 Br 2.98
Br1 0.0000 0.0000 0.0000  4 Te 2.88, 2 I 2.98
O1 0.5000 0.5000 0.5000  4 I 4.07, 8 Te 4.14